Entry 1:
Crystalline Sm5ZnPd2 at its relaxed geometry, computed with PBE-GGA.

Calculated values
calculated formation energy: -0.466 eV per atom
energy above the most stable polymorph in this dataset: 0 meV per atom
M_tot: 0.000 μB/f.u.
symmetry: I4/mcm, No. 140

a b c (Å): 8.6897 8.6897 8.6897
angles (deg): 125.10 125.10 81.38
Closest atoms and distances in Å follow each position.
Positions (direct):
Sm: 0.0000 0.0000 0.0000  4 Pd 3.14, 2 Zn 3.29
Sm: 0.0175 0.5175 0.8223  3 Pd 3.01-3.03, 2 Zn 3.32
Sm: 0.1952 0.0175 0.5000  3 Pd 3.01-3.03, 2 Zn 3.32
Sm: 0.3048 0.8048 0.8223  3 Pd 3.01-3.03, 2 Zn 3.32
Sm: 0.4825 0.3048 0.5000  3 Pd 3.01-3.03, 2 Zn 3.32
Sm: 0.5000 0.5000 0.0000  4 Pd 3.14, 2 Zn 3.29
Sm: 0.5175 0.6952 0.5000  3 Pd 3.01-3.03, 2 Zn 3.32
Sm: 0.6952 0.1952 0.1777  3 Pd 3.01-3.03, 2 Zn 3.32
Sm: 0.8048 0.9825 0.5000  3 Pd 3.01-3.03, 2 Zn 3.32
Sm: 0.9825 0.4825 0.1777  3 Pd 3.01-3.03, 2 Zn 3.32
Zn: 0.2500 0.2500 0.0000  10 Sm 3.29-3.32
Zn: 0.7500 0.7500 0.0000  10 Sm 3.29-3.32
Pd: 0.1300 0.3700 0.5000  1 Pd 2.95, 8 Sm 3.01-3.14
Pd: 0.3700 0.8700 0.2399  1 Pd 2.95, 8 Sm 3.01-3.14
Pd: 0.6300 0.1300 0.7601  1 Pd 2.95, 8 Sm 3.01-3.14
Pd: 0.8700 0.6300 0.5000  1 Pd 2.95, 8 Sm 3.01-3.14

***

Entry 2:
Crystalline KBeFe2Sb at its relaxed geometry, computed with PBE-GGA.

Calculated values
energy relative to the elements, uncorrected: 1064 meV per atom
M_tot: 4.464 μB/f.u.
symmetry: P4/mmm, No. 123

a b c (Å): 4.9553 4.9553 4.7185
angles (deg): 90.00 90.00 90.00
Closest atoms and distances in Å follow each position.
Positions (direct):
K: 0.0000 0.0000 0.0000  8 Fe 3.42, 4 Be 3.50
Be: 0.5000 0.5000 0.0000  2 Sb 2.36
Fe: 0.0000 0.5000 0.5000  2 Sb 2.48
Fe: 0.5000 0.0000 0.5000  2 Sb 2.48
Sb: 0.5000 0.5000 0.5000  2 Be 2.36, 4 Fe 2.48

***

Entry 3:
Crystalline PrNd2Hg3 at its relaxed geometry, computed with PBE-GGA.

Calculated values
calculated formation energy: -0.473 eV per atom
M_tot: 1.401 μB/f.u.
symmetry: Cmmm, No. 65

a b c (Å): 8.5936 8.5936 7.7182
angles (deg): 90.00 90.00 143.17
Closest atoms and distances in Å follow each position.
Positions (direct):
Pr: 0.1666 0.8334 0.0000  8 Hg 3.34-3.36
Pr: 0.8334 0.1666 0.0000  8 Hg 3.34-3.36
Nd: 0.1671 0.8329 0.5000  8 Hg 3.32-3.33
Nd: 0.5000 0.5000 0.0000  8 Hg 3.33-3.34
Nd: 0.5000 0.5000 0.5000  8 Hg 3.31-3.32
Nd: 0.8329 0.1671 0.5000  8 Hg 3.32-3.33
Hg: 0.0000 0.0000 0.2523  6 Nd 3.32-3.34, 2 Pr 3.34
Hg: 0.0000 0.0000 0.7477  6 Nd 3.32-3.34, 2 Pr 3.34
Hg: 0.3342 0.6658 0.2526  5 Nd 3.31-3.33, 3 Pr 3.34-3.36
Hg: 0.3342 0.6658 0.7474  5 Nd 3.31-3.33, 3 Pr 3.34-3.36
Hg: 0.6658 0.3342 0.2526  5 Nd 3.31-3.33, 3 Pr 3.34-3.36
Hg: 0.6658 0.3342 0.7474  5 Nd 3.31-3.33, 3 Pr 3.34-3.36

***

> Look up the M_tot of the second one.

4.464 μB/f.u.